Density functional theory data (PBE-GGA) for a relaxed RbTe2Au2Se6 crystal.

The uncorrected formation energy is -0.134 eV/atom.

a = 6.727 Å, b = 7.376 Å, c = 8.716 Å
α = 67.82°, β = 80.40°, γ = 83.63°
Fractional positions:
Rb (0.000, 0.000, 0.000)
Te (0.040, 0.283, 0.406)
Te (0.960, 0.717, 0.594)
Au (0.461, 0.540, 0.769)
Au (0.539, 0.460, 0.231)
Se (0.225, 0.395, 0.663)
Se (0.237, 0.920, 0.611)
Se (0.270, 0.378, 0.112)
Se (0.730, 0.622, 0.888)
Se (0.763, 0.080, 0.389)
Se (0.775, 0.605, 0.337)

Density functional theory data (PBE-GGA) for a relaxed RbThAu2Se4 crystal.

The uncorrected formation energy is -0.767 eV/atom.

a = 6.900 Å, b = 6.900 Å, c = 6.900 Å
α = 121.86°, β = 108.54°, γ = 98.87°
Fractional positions:
Rb (0.000, 0.000, 0.000)
Th (0.500, 0.500, 0.000)
Au (0.342, 0.842, 0.500)
Au (0.658, 0.158, 0.500)
Se (0.101, 0.085, 0.569)
Se (0.484, 0.915, 0.016)
Se (0.516, 0.532, 0.431)
Se (0.899, 0.468, 0.984)